[1]
Below is a relaxed NpTlAg2O5 crystal, with properties calculated at the PBE level.

Properties
Raw formation energy = -1379 meV per atom

```
9
Lattice="-1.123 0.891 -4.201 -5.676 -2.389 1.011 1.622 5.609 3.101" Properties=species:S:1:pos:R:3 pbc="T T T"
Ag -0.821 2.245 0.696
Ag -4.356 1.866 -0.784
O -2.895 2.944 1.399
O 0.000 0.000 0.000
O -2.282 1.168 -1.487
O 0.257 4.270 0.837
Tl -2.838 -1.195 0.506
O -5.434 -0.159 -0.926
Np -0.562 0.446 -2.100
```

[2]
Below is a relaxed Np3Tl2AgO12 crystal, with properties calculated at the PBE level.

Properties
Raw formation energy = -2031 meV per atom

```
18
Lattice="-5.309 -0.256 5.167 -4.192 -6.108 -0.272 1.331 -4.827 5.466" Properties=species:S:1:pos:R:3 pbc="T T T"
O -5.686 -3.442 6.241
Np -2.096 -3.054 -0.136
O -3.177 -4.124 7.490
O -7.944 -7.571 6.512
O -4.639 -9.846 6.661
Np -2.655 -0.128 2.583
Np 0.665 -2.414 2.733
Tl -3.076 -4.214 3.901
O -2.484 -7.749 4.120
O -3.532 -1.345 3.699
O -5.195 -6.933 9.369
O -2.976 -4.258 0.991
Ag 0.000 0.000 0.000
O -1.573 -6.274 6.426
O -6.598 -4.917 3.935
O -0.226 -3.621 3.848
Tl -5.094 -6.978 6.460
O -4.994 -7.067 2.871
```

[3]
Below is a relaxed Np2TlAgO8 crystal, with properties calculated at the PBE level.

Properties
Raw formation energy = -1655 meV per atom

```
12
Lattice="6.295 0.000 0.000 -3.147 5.452 0.000 0.000 0.000 5.768" Properties=species:S:1:pos:R:3 pbc="T T T"
O 3.990 3.258 4.895
O 3.147 1.817 2.154
O 1.478 1.826 4.895
Ag 0.000 0.000 2.884
O -0.827 5.084 0.873
O 0.000 3.634 3.614
Np 0.000 3.634 5.440
Tl 0.000 0.000 0.000
O -0.842 2.193 0.873
O 1.669 3.625 0.873
O 3.974 0.367 4.895
Np 3.147 1.817 0.328
```

[4]
Below is a relaxed NpTl2AgO8 crystal, with properties calculated at the PBE level.

Properties
Raw formation energy = -1147 meV per atom

```
12
Lattice="5.172 -0.224 -0.184 -0.213 5.047 0.208 -0.249 0.264 6.926" Properties=species:S:1:pos:R:3 pbc="T T T"
O 0.709 3.932 1.368
O 0.346 4.309 5.371
O 4.364 0.778 1.579
O 4.002 1.155 5.582
O 3.361 3.486 0.028
Tl 2.109 2.810 5.148
O 1.516 1.397 3.522
Ag -0.124 0.132 3.463
O 3.194 3.690 3.428
Np 0.000 0.000 0.000
Tl 2.601 2.277 1.802
O 1.349 1.601 6.922
```

[5]
Below is a relaxed NpTlAgO6 crystal, with properties calculated at the PBE level.

Properties
Raw formation energy = -1328 meV per atom

```
18
Lattice="-1.181 0.257 5.430 3.527 -3.860 -1.900 7.478 6.177 1.333" Properties=species:S:1:pos:R:3 pbc="T T T"
O 6.365 1.451 3.026
O 3.871 0.052 4.494
O 7.737 0.278 0.764
O 5.953 2.523 0.369
Tl 3.739 3.088 0.667
O 9.124 1.816 2.803
O 0.988 -0.178 4.784
O 2.087 2.296 4.100
O 7.382 4.052 2.219
Tl 0.000 0.000 0.000
O 2.442 -1.477 2.645
Ag 3.827 -0.943 0.877
Ag 5.997 3.518 3.987
O 3.460 1.123 1.838
Np 7.566 2.145 1.543
Np 2.258 0.429 3.320
O 8.836 2.753 0.080
O 0.700 0.759 2.061
```

[6]
Below is a relaxed Tm2NpAgO8 crystal, with properties calculated at the PBE level.

Properties
Raw formation energy = -2448 meV per atom

```
12
Lattice="4.984 -0.177 0.199 -0.166 4.981 -0.220 0.296 -0.278 6.991" Properties=species:S:1:pos:R:3 pbc="T T T"
Ag 0.148 -0.139 3.496
O 1.171 3.635 5.608
O 1.600 1.299 3.487
O 3.514 3.227 3.483
Tm 2.329 2.487 1.817
O 4.356 0.478 5.405
O 1.731 1.132 6.984
Tm 2.786 2.039 5.153
O 3.384 3.395 -0.014
Np 0.000 0.000 0.000
O 0.758 4.048 1.565
O 3.943 0.892 1.362
```